1.
The following is a GGA-PBE calculation of a geometry-optimized CaLaMg2 structure, from Alexandria.

Its space-group type is P4/mmm (123). The total magnetization is 0.00 μB/atom. Its crystal system is tetragonal. As for the energy above the lowest structure with this stoichiometry: 0.024 eV per atom.

a = 4.013 Å, b = 4.013 Å, c = 7.755 Å
α = 90.00°, β = 90.00°, γ = 90.00°
Positions (direct):
Ca (0.000, 0.000, 0.000)
La (0.000, 0.000, 0.500)
Mg (0.500, 0.500, 0.251)
Mg (0.500, 0.500, 0.749)

---

2.
The following is a GGA-PBE calculation of a geometry-optimized CaLa2Mg2 structure, from Alexandria.

Its space-group type is P4/mbm (127). The total magnetization is 0.00 μB/atom. Its crystal system is tetragonal. As for the energy above the lowest structure with this stoichiometry: 0.089 eV per atom.

a = 9.582 Å, b = 9.582 Å, c = 3.625 Å
α = 90.00°, β = 90.00°, γ = 90.00°
Positions (direct):
Ca (0.000, 0.000, 0.000)
Ca (0.500, 0.500, 0.000)
La (0.116, 0.384, 0.000)
La (0.384, 0.884, 0.000)
La (0.616, 0.116, 0.000)
La (0.884, 0.616, 0.000)
Mg (0.178, 0.678, 0.500)
Mg (0.322, 0.178, 0.500)
Mg (0.678, 0.822, 0.500)
Mg (0.822, 0.322, 0.500)

---

3.
The following is a GGA-PBE calculation of a geometry-optimized Ca2LaMg2 structure, from Alexandria.

Its space-group type is P2_1/m (11). The total magnetization is 0.03 μB/atom. Its crystal system is monoclinic. As for the energy above the lowest structure with this stoichiometry: 0.000 eV per atom.

a = 3.899 Å, b = 5.765 Å, c = 14.875 Å
α = 90.00°, β = 97.54°, γ = 90.00°
Positions (direct):
Ca (0.045, 0.250, 0.091)
Ca (0.233, 0.250, 0.465)
Ca (0.767, 0.750, 0.535)
Ca (0.955, 0.750, 0.909)
La (0.147, 0.750, 0.293)
La (0.853, 0.250, 0.707)
Mg (0.362, 0.750, 0.725)
Mg (0.448, 0.250, 0.896)
Mg (0.552, 0.750, 0.104)
Mg (0.638, 0.250, 0.275)

---

4.
The following is a GGA-PBE calculation of a geometry-optimized CaLa3Mg structure, from Alexandria.

Its space-group type is C2/m (12). The total magnetization is 0.00 μB/atom. Its crystal system is monoclinic. As for the energy above the lowest structure with this stoichiometry: 0.000 eV per atom.

a = 7.210 Å, b = 7.210 Å, c = 13.392 Å
α = 95.60°, β = 95.60°, γ = 30.55°
Positions (direct):
Ca (0.226, 0.226, 0.253)
Ca (0.774, 0.774, 0.747)
La (0.032, 0.032, 0.685)
La (0.150, 0.150, 0.948)
La (0.365, 0.365, 0.518)
La (0.635, 0.635, 0.482)
La (0.850, 0.850, 0.052)
La (0.968, 0.968, 0.315)
Mg (0.447, 0.447, 0.876)
Mg (0.553, 0.553, 0.124)

---

ΔH_f (0 K)? In order: -0.089 0.030 -0.036 -0.003 eV/atom.
Energy? In order: -2.618 -2.979 -2.460 -3.679 eV/atom.